A plane-wave DFT calculation with GGA-PBE was carried out for a geometry-optimized Cu2HgAu structure.

Calculated values
As for the space-group type: I-4m2, No. 119. The calculation puts the total energy at -0.105 hartree per atom. The calculation puts the formation energy from the elements at 94.1 meV/atom. The calculation puts the density of states at the Fermi level at 1.44 states/eV/cell.

Geometry as POSCAR:
```
Cu2HgAu
1.0
-1.949 1.949 4.219
1.949 -1.949 4.219
1.949 1.949 -4.219
Cu Hg Au
2 1 1
Cartesian
0.000 0.000 0.000
0.000 1.949 2.110
1.949 0.000 2.110
0.000 0.000 4.219
```